DFT (GGA+U) results for crystalline NiIrO3 at its relaxed geometry.

```
NiIrO3
1.0
-3.200 -0.915 -1.576
1.777 -2.275 -2.286
-0.405 -2.747 2.418
O Ir Ni
3 1 1
direct
0.000 0.500 0.000
0.500 0.000 0.000
0.000 0.000 0.500
0.500 0.500 0.500
0.000 0.000 0.000
```

Output
* spin magnetization: 0.23 μB per atom
* DFT total energy: -4.745 eV/atom
* volume: 49.9 Å³/f.u.